A plane-wave DFT calculation with PBE+U was carried out for BaW4O7 after structural relaxation.

As for the symmetry: P6_3mc. For the volume, the calculation gives 450 Å³ per cell. The total energy comes out at -0.4956 Ry per atom.

a b c (Å): 6.848 6.848 11.082
angles (deg): 90.00 90.00 120.00
Sites, in units of the cell vectors:
Ba 0.667 0.333 0.544
Ba 0.333 0.667 0.044
W 0.807 0.193 0.195
W 0.615 0.807 0.695
W 0.193 0.385 0.695
W 0.807 0.615 0.195
W 0.385 0.193 0.195
W 0.193 0.807 0.695
W 0.000 0.000 0.418
W 0.000 0.000 0.918
O 0.863 0.137 0.032
O 0.726 0.863 0.532
O 0.137 0.274 0.532
O 0.863 0.726 0.032
O 0.274 0.137 0.032
O 0.137 0.863 0.532
O 0.000 0.000 0.742
O 0.000 0.000 0.242
O 0.481 0.519 0.224
O 0.961 0.481 0.724
O 0.519 0.039 0.724
O 0.481 0.961 0.224
O 0.519 0.481 0.724
O 0.039 0.519 0.224